# 1
Entry from Alexandria: crystalline LiTa at its relaxed geometry (PBE-GGA).

POSCAR file:
```
LiTa
1.0
4.9813 0.0000 0.0000
0.0000 13.5819 0.0000
0.0000 0.0000 2.8304
Li Ta
6 6
direct
0.2500 0.1104 0.0161 Li
0.2500 0.2500 0.5353 Li
0.2500 0.3896 0.0161 Li
0.7500 0.6104 0.9839 Li
0.7500 0.7500 0.4647 Li
0.7500 0.8896 0.9839 Li
0.2500 0.5700 0.4324 Ta
0.2500 0.7500 0.9396 Ta
0.2500 0.9300 0.4324 Ta
0.7500 0.0700 0.5676 Ta
0.7500 0.2500 0.0604 Ta
0.7500 0.4300 0.5676 Ta
```

- excess energy over the best structure of this formula in the dataset (meV/atom) = 207.5


# 2
Entry from Alexandria: crystalline Li3Ta4 at its relaxed geometry (PBE-GGA).

POSCAR file:
```
Li3Ta4
1.0
-1.6853 1.6853 10.7487
1.6853 -1.6853 10.7487
1.6853 1.6853 -10.7487
Li Ta
3 4
direct
0.0000 0.0000 0.0000 Li
0.2831 0.2831 0.0000 Li
0.7169 0.7169 0.0000 Li
0.1342 0.1342 0.0000 Ta
0.4299 0.4299 0.0000 Ta
0.5701 0.5701 0.0000 Ta
0.8658 0.8658 0.0000 Ta
```

- excess energy over the best structure of this formula in the dataset (meV/atom) = 32.4


# 3
Entry from Alexandria: crystalline LiTa at its relaxed geometry (PBE-GGA).

POSCAR file:
```
LiTa
1.0
3.4148 0.0000 0.0000
0.0000 3.4148 0.0000
0.0000 0.0000 6.1757
Li Ta
2 2
direct
0.2500 0.2500 0.1221 Li
0.7500 0.7500 0.8779 Li
0.2500 0.2500 0.6012 Ta
0.7500 0.7500 0.3988 Ta
```

- excess energy over the best structure of this formula in the dataset (meV/atom) = 238.9


# 4
Entry from Alexandria: crystalline Li3Ta4 at its relaxed geometry (PBE-GGA).

POSCAR file:
```
Li3Ta4
1.0
4.9337 0.0000 0.0000
-2.4669 4.2727 0.0000
0.0000 0.0000 5.4186
Li Ta
3 4
direct
0.0000 0.5000 0.0000 Li
0.5000 0.0000 0.0000 Li
0.5000 0.5000 0.0000 Li
0.0000 0.0000 0.2724 Ta
0.0000 0.0000 0.7276 Ta
0.3333 0.6667 0.5000 Ta
0.6667 0.3333 0.5000 Ta
```

- excess energy over the best structure of this formula in the dataset (meV/atom) = 0.0


# 5
Entry from Alexandria: crystalline Li5Ta at its relaxed geometry (PBE-GGA).

POSCAR file:
```
Li5Ta
1.0
4.9153 0.0000 0.0000
0.0000 1.3117 8.2840
0.0000 -1.3117 8.2840
Li Ta
5 1
direct
0.0000 0.0000 0.0000 Li
0.0000 0.3259 0.3259 Li
0.5000 0.0922 0.0922 Li
0.5000 0.4268 0.4268 Li
0.5000 0.7553 0.7553 Li
0.0000 0.6606 0.6606 Ta
```

- excess energy over the best structure of this formula in the dataset (meV/atom) = 89.1


# 6
Entry from Alexandria: crystalline Li8Ta at its relaxed geometry (PBE-GGA).

POSCAR file:
```
Li8Ta
1.0
-4.4863 4.4863 2.1014
4.4863 -4.4863 2.1014
4.4863 4.4863 -2.1014
Li Ta
8 1
direct
0.0000 0.3288 0.3288 Li
0.0000 0.6712 0.6712 Li
0.3288 0.0000 0.3288 Li
0.3332 0.3332 0.6664 Li
0.3332 0.6668 0.0000 Li
0.6668 0.3332 0.0000 Li
0.6668 0.6668 0.3336 Li
0.6712 0.0000 0.6712 Li
0.0000 0.0000 0.0000 Ta
```

- E_tot (eV per atom) = -2.65


# 7
Entry from Alexandria: crystalline LiTa at its relaxed geometry (PBE-GGA).

POSCAR file:
```
LiTa
1.0
2.7643 0.0000 0.0000
0.0000 2.7643 0.0000
0.0000 0.0000 9.6958
Li Ta
2 2
direct
0.2500 0.2500 0.1279 Li
0.7500 0.7500 0.8721 Li
0.2500 0.2500 0.6169 Ta
0.7500 0.7500 0.3831 Ta
```

- excess energy over the best structure of this formula in the dataset (meV/atom) = 59.5


# 8
Entry from Alexandria: crystalline LiTa at its relaxed geometry (PBE-GGA).

POSCAR file:
```
LiTa
1.0
2.6535 0.0000 0.0000
0.0000 2.6535 0.0000
0.0000 0.0000 5.0033
Li Ta
1 1
direct
0.0000 0.0000 0.0000 Li
0.5000 0.5000 0.5000 Ta
```

- excess energy over the best structure of this formula in the dataset (meV/atom) = 371.4


| no. | calculated volume (Å³/atom) |
| --- | --- |
| 1 | 15.96 |
| 2 | 17.44 |
| 3 | 18.00 |
| 4 | 16.32 |
| 5 | 17.80 |
| 6 | 18.80 |
| 7 | 18.52 |
| 8 | 17.61 |